[1]
TbCe3Ga4 after structural relaxation, computed with PBE.

Lattice parameters (Å, degrees): 3.336 3.336 16.580 90.00 90.00 90.00
Space group P4/mmm (No. 123)
Inequivalent atoms, fractional coordinates:
Tb (0.000, 0.000, 0.000) [1 per cell]
Ce (0.000, 0.000, 0.246) [2 per cell]
Ce (0.000, 0.000, 0.500) [1 per cell]
Ga (0.500, 0.500, 0.121) [2 per cell]
Ga (0.500, 0.500, 0.373) [2 per cell]

Calculated values
**Energy of formation**: -508 meV/atom
**Crystal system**: tetragonal

***

[2]
InTcNi after structural relaxation, computed with PBE.

Lattice parameters (Å, degrees): 4.535 9.019 4.707 90.00 90.00 90.00
Space group Amm2 (No. 38)
Inequivalent atoms, fractional coordinates:
In (0.000, 0.000, 0.000) [2 per cell]
In (0.500, 0.000, 0.465) [2 per cell]
Tc (0.000, 0.185, 0.511) [4 per cell]
Ni (0.500, 0.217, 0.835) [4 per cell]

Calculated values
**Energy of formation**: 111 meV/atom
**Crystal system**: orthorhombic
**Energy above the lowest structure with this stoichiometry**: 0.22 eV/f.u.

***

[3]
BaInRh2 after structural relaxation, computed with PBE.

Lattice parameters (Å, degrees): 4.179 4.000 11.513 90.00 90.00 90.00
Space group Amm2 (No. 38)
Inequivalent atoms, fractional coordinates:
Ba (0.000, 0.000, 0.000) [2 per cell]
In (0.500, 0.000, 0.722) [2 per cell]
Rh (0.000, 0.000, 0.261) [2 per cell]
Rh (0.500, 0.000, 0.390) [2 per cell]

Calculated values
**Energy of formation**: -109 meV/atom
**Crystal system**: orthorhombic

***

[4]
CsTl2Sb4 after structural relaxation, computed with PBE.

Lattice parameters (Å, degrees): 8.368 8.368 7.358 90.00 90.00 90.00
Space group I4/mmm (No. 139)
Inequivalent atoms, fractional coordinates:
Cs (0.000, 0.000, 0.000) [2 per cell]
Tl (0.000, 0.500, 0.250) [4 per cell]
Sb (0.170, 0.170, 0.500) [8 per cell]

Calculated values
**Crystal system**: tetragonal

***

[5]
CrInCo2Tc after structural relaxation, computed with PBE.

Lattice parameters (Å, degrees): 4.547 4.547 4.716 90.00 90.00 90.00
Space group P4/mmm (No. 123)
Inequivalent atoms, fractional coordinates:
Cr (0.000, 0.000, 0.000) [1 per cell]
In (0.000, 0.000, 0.500) [1 per cell]
Co (0.000, 0.500, 0.500) [2 per cell]
Tc (0.500, 0.500, 0.000) [1 per cell]

Calculated values
**Energy of formation**: 2238 meV/atom
**Crystal system**: tetragonal

***

[6]
La2SmCdTe5 after structural relaxation, computed with PBE.

Lattice parameters (Å, degrees): 4.456 19.366 13.583 90.00 90.00 90.00
Space group Cmc2_1 (No. 36)
Inequivalent atoms, fractional coordinates:
La (0.000, 0.116, 0.000) [4 per cell]
La (0.000, 0.130, 0.624) [4 per cell]
Sm (0.000, 0.200, 0.326) [4 per cell]
Cd (0.000, 0.441, 0.772) [4 per cell]
Te (0.000, 0.045, 0.394) [4 per cell]
Te (0.000, 0.288, 0.988) [4 per cell]
Te (0.000, 0.309, 0.659) [4 per cell]
Te (0.000, 0.361, 0.317) [4 per cell]
Te (0.000, 0.497, 0.089) [4 per cell]

Calculated values
**Crystal system**: orthorhombic

***

[7]
TeH3Au after structural relaxation, computed with PBE.

Lattice parameters (Å, degrees): 4.002 4.002 4.002 90.00 90.00 90.00
Space group Pm-3m (No. 221)
Inequivalent atoms, fractional coordinates:
Te (0.000, 0.000, 0.000) [1 per cell]
H (0.000, 0.000, 0.500) [3 per cell]
Au (0.500, 0.500, 0.500) [1 per cell]

Calculated values
**Crystal system**: cubic
**Energy above the lowest structure with this stoichiometry**: 0.12 eV/f.u.

***

[8]
InMoPt2 after structural relaxation, computed with PBE.

Lattice parameters (Å, degrees): 4.104 4.104 7.933 90.00 90.00 90.00
Space group I-4m2 (No. 119)
Inequivalent atoms, fractional coordinates:
In (0.000, 0.000, 0.000) [2 per cell]
Mo (0.000, 0.500, 0.750) [2 per cell]
Pt (0.000, 0.000, 0.500) [2 per cell]
Pt (0.000, 0.500, 0.250) [2 per cell]

Calculated values
**Energy of formation**: -78 meV/atom
**Crystal system**: tetragonal

***

[9]
LiHfTa2Ni after structural relaxation, computed with PBE.

Lattice parameters (Å, degrees): 4.560 4.560 3.939 90.00 90.00 90.00
Space group P4/mmm (No. 123)
Inequivalent atoms, fractional coordinates:
Li (0.000, 0.000, 0.000) [1 per cell]
Hf (0.500, 0.500, 0.500) [1 per cell]
Ta (0.000, 0.500, 0.000) [2 per cell]
Ni (0.000, 0.000, 0.500) [1 per cell]

Calculated values
**Energy of formation**: 825 meV/atom
**Crystal system**: tetragonal

***

[10]
Ce2HgGe4Au3 after structural relaxation, computed with PBE.

Lattice parameters (Å, degrees): 4.557 4.557 10.456 90.00 90.00 90.00
Space group P-4m2 (No. 115)
Inequivalent atoms, fractional coordinates:
Ce (0.000, 0.500, 0.244) [2 per cell]
Hg (0.000, 0.000, 0.500) [1 per cell]
Ge (0.000, 0.000, 0.000) [1 per cell]
Ge (0.000, 0.500, 0.640) [2 per cell]
Ge (0.500, 0.500, 0.000) [1 per cell]
Au (0.000, 0.500, 0.877) [2 per cell]
Au (0.500, 0.500, 0.500) [1 per cell]

Calculated values
**Energy of formation**: -415 meV/atom
**Crystal system**: tetragonal

***

[11]
SrCd4Ge after structural relaxation, computed with PBE.

Lattice parameters (Å, degrees): 8.491 8.491 8.491 90.00 90.00 90.00
Space group F-43m (No. 216)
Inequivalent atoms, fractional coordinates:
Sr (0.000, 0.000, 0.000) [4 per cell]
Cd (0.124, 0.124, 0.376) [16 per cell]
Ge (0.250, 0.250, 0.750) [4 per cell]

Calculated values
**Energy of formation**: -81 meV/atom
**Crystal system**: cubic
**Energy above the lowest structure with this stoichiometry**: 0.73 eV/f.u.

***

[12]
ZrScAs after structural relaxation, computed with PBE.

Lattice parameters (Å, degrees): 14.162 3.814 9.648 90.00 91.07 90.00
Space group C2/m (No. 12)
Inequivalent atoms, fractional coordinates:
Zr (0.185, 0.000, 0.071) [4 per cell]
Zr (0.242, 0.000, 0.657) [4 per cell]
Sc (0.042, 0.000, 0.363) [4 per cell]
Sc (0.102, 0.500, 0.845) [4 per cell]
As (0.085, 0.500, 0.184) [4 per cell]
As (0.119, 0.500, 0.553) [4 per cell]

Calculated values
**Energy of formation**: -763 meV/atom
**Crystal system**: monoclinic

***

[13]
ScHgSb after structural relaxation, computed with PBE.

Lattice parameters (Å, degrees): 11.115 4.090 6.505 90.00 103.60 90.00
Space group C2/m (No. 12)
Inequivalent atoms, fractional coordinates:
Sc (0.130, 0.000, 0.308) [4 per cell]
Hg (0.194, 0.000, 0.805) [4 per cell]
Sb (0.000, 0.500, 0.000) [2 per cell]
Sb (0.000, 0.500, 0.500) [2 per cell]

Calculated values
**Crystal system**: monoclinic
**Energy above the lowest structure with this stoichiometry**: 0.08 eV/f.u.

***

[14]
Sc2Ti2Ru after structural relaxation, computed with PBE.

Lattice parameters (Å, degrees): 6.290 6.290 4.867 90.00 90.00 90.00
Space group P4/mbm (No. 127)
Inequivalent atoms, fractional coordinates:
Sc (0.171, 0.329, 0.000) [4 per cell]
Ti (0.147, 0.647, 0.500) [4 per cell]
Ru (0.000, 0.000, 0.500) [2 per cell]

Calculated values
**Energy of formation**: -173 meV/atom
**Crystal system**: tetragonal

***

[15]
KZn2Mo after structural relaxation, computed with PBE.

Lattice parameters (Å, degrees): 9.217 2.676 7.162 90.00 94.37 90.00
Space group C2/m (No. 12)
Inequivalent atoms, fractional coordinates:
K (0.000, 0.000, 0.000) [2 per cell]
Zn (0.240, 0.000, 0.660) [4 per cell]
Mo (0.000, 0.500, 0.500) [2 per cell]

Calculated values
**Energy of formation**: 551 meV/atom
**Crystal system**: monoclinic
**Energy above the lowest structure with this stoichiometry**: 0.52 eV/f.u.

***

[16]
Tb5Nd3 after structural relaxation, computed with PBE.

Lattice parameters (Å, degrees): 3.608 3.608 20.402 90.00 90.00 90.00
Space group P4/mmm (No. 123)
Inequivalent atoms, fractional coordinates:
Tb (0.000, 0.000, 0.000) [1 per cell]
Tb (0.000, 0.000, 0.252) [2 per cell]
Tb (0.500, 0.500, 0.374) [2 per cell]
Nd (0.000, 0.000, 0.500) [1 per cell]
Nd (0.500, 0.500, 0.126) [2 per cell]

Calculated values
**Energy of formation**: 18 meV/atom
**Crystal system**: tetragonal

***

[17]
Sr2DyPt4Pb3 after structural relaxation, computed with PBE.

Lattice parameters (Å, degrees): 4.789 4.789 11.336 90.00 90.00 90.00
Space group P-4m2 (No. 115)
Inequivalent atoms, fractional coordinates:
Sr (0.000, 0.500, 0.222) [2 per cell]
Dy (0.000, 0.000, 0.500) [1 per cell]
Pt (0.000, 0.000, 0.000) [1 per cell]
Pt (0.000, 0.500, 0.637) [2 per cell]
Pt (0.500, 0.500, 0.000) [1 per cell]
Pb (0.000, 0.500, 0.877) [2 per cell]
Pb (0.500, 0.500, 0.500) [1 per cell]

Calculated values
**Energy of formation**: -631 meV/atom
**Crystal system**: tetragonal

***

[18]
FeCoW after structural relaxation, computed with PBE.

Lattice parameters (Å, degrees): 4.1462 4.1462 2.5924 90.00 90.00 120.00
Space group P3m1 (No. 156)
Inequivalent atoms, fractional coordinates:
Fe (0.0000, 0.0000, 0.0000) [1 per cell]
Co (0.3333, 0.6667, 0.7603) [1 per cell]
W (0.6667, 0.3333, 0.3606) [1 per cell]

Calculated values
**Energy of formation**: 148 meV/atom
**Crystal system**: trigonal
**Energy above the lowest structure with this stoichiometry**: 0.46 eV/f.u.

***

[19]
SiPSe4 after structural relaxation, computed with PBE.

Lattice parameters (Å, degrees): 7.923 7.923 7.923 90.00 90.00 90.00
Space group F-43m (No. 216)
Inequivalent atoms, fractional coordinates:
Si (0.000, 0.000, 0.000) [4 per cell]
P (0.250, 0.250, 0.750) [4 per cell]
Se (0.125, 0.125, 0.375) [16 per cell]

Calculated values
**Crystal system**: cubic

***

[20]
SrTbP2O8 after structural relaxation, computed with PBE.

Lattice parameters (Å, degrees): 5.4028 5.4028 7.3967 90.00 90.00 120.00
Space group P-3 (No. 147)
Inequivalent atoms, fractional coordinates:
Sr (0.0000, 0.0000, 0.0000) [1 per cell]
Tb (0.0000, 0.0000, 0.5000) [1 per cell]
P (0.3333, 0.6667, 0.7752) [2 per cell]
O (0.1758, 0.3544, 0.7065) [6 per cell]
O (0.3333, 0.6667, 0.9844) [2 per cell]

Calculated values
**Crystal system**: trigonal

***

Record order is preserved below.
DOS(E_F): 11.40; 7.34; 5.93; 6.25; 13.23; 13.05; 1.68; 6.48; 5.89; 15.18; 9.45; 16.77; 6.53; 6.72; 5.04; 10.93; 5.04; 3.92; 10.21; 8.57 states/eV/cell
Record order is preserved below.
DFT total energy: -4.8256; -6.1845; -4.9497; -3.2367; -5.1500; -4.7319; -2.5145; -6.4911; -7.4455; -4.4622; -1.7411; -7.2725; -3.9899; -7.7189; -3.0679; -4.6640; -4.9563; -9.3594; -3.1276; -7.3984 eV per atom